# Rb3Cu2PdCl9

A geometry-optimized Rb3Cu2PdCl9 structure (PBE-GGA, Alexandria).

The crystal system is trigonal. For the formation energy without anion corrections, the calculation gives -1.0946 eV/atom.

The space group is P-3m1 (No. 164) and the conventional cell measures 6.9947, 6.9947 and 8.5309 Å, with angles of 90.00, 90.00 and 120.00 degrees. The inequivalent atoms are Rb at (0.0000, 0.0000, 0.0000), Rb at (0.3333, 0.6667, 0.6712), Cu at (0.3333, 0.6667, 0.1606), Pd at (0.0000, 0.0000, 0.5000), Cl at (0.0000, 0.5000, 0.0000) and Cl at (0.1670, 0.3341, 0.3335).



# Pm2GePd3

A geometry-optimized Pm2GePd3 structure (PBE-GGA, Alexandria).

Its formation energy is -478 kJ/mol of formula units. The crystal system is orthorhombic.

The space group is Pmm2 (No. 25) and the conventional cell measures 3.680, 4.507 and 7.763 Å, with angles of 90.00, 90.00 and 90.00 degrees. The inequivalent atoms are Pm at (0.000, 0.000, 0.000), Pm at (0.000, 0.500, 0.474), Ge at (0.500, 0.500, 0.808), Pd at (0.500, 0.000, 0.325), Pd at (0.500, 0.000, 0.674) and Pd at (0.500, 0.500, 0.130).



# NaInCuPb

A geometry-optimized NaInCuPb structure (PBE-GGA, Alexandria).

Its formation energy is 41 kJ/mol of formula units. The crystal system is cubic.

The space group is F-43m (No. 216) and the conventional cell measures 7.120, 7.120 and 7.120 Å, with angles of 90.00, 90.00 and 90.00 degrees. The inequivalent atoms are Na at (0.000, 0.000, 0.000), In at (0.250, 0.250, 0.250), Cu at (0.000, 0.000, 0.500) and Pb at (0.250, 0.250, 0.750).



# SrTc2P

A geometry-optimized SrTc2P structure (PBE-GGA, Alexandria).

Its formation energy is 199 kJ/mol of formula units. The crystal system is orthorhombic.

The space group is Imm2 (No. 44) and the conventional cell measures 3.107, 5.423 and 9.272 Å, with angles of 90.00, 90.00 and 90.00 degrees. The inequivalent atoms are Sr at (0.000, 0.000, 0.000), Tc at (0.000, 0.000, 0.480), Tc at (0.000, 0.500, 0.190) and P at (0.000, 0.500, 0.779).



# BiTePtI2

A geometry-optimized BiTePtI2 structure (PBE-GGA, Alexandria).

The crystal system is tetragonal. For the formation energy without anion corrections, the calculation gives 0.9613 eV/atom.

The space group is P4/mmm (No. 123) and the conventional cell measures 5.958, 5.958 and 6.184 Å, with angles of 90.00, 90.00 and 90.00 degrees. The inequivalent atoms are Bi at (0.000, 0.000, 0.000), Te at (0.000, 0.000, 0.500), Pt at (0.500, 0.500, 0.500) and I at (0.000, 0.500, 0.000).



# RbNaMn2I8

A geometry-optimized RbNaMn2I8 structure (PBE-GGA, Alexandria).

The crystal system is trigonal. For the formation energy without anion corrections, the calculation gives -0.6270 eV/atom.

The space group is P-3 (No. 147) and the conventional cell measures 7.4709, 7.4709 and 10.7777 Å, with angles of 90.00, 90.00 and 120.00 degrees. The inequivalent atoms are Rb at (0.0000, 0.0000, 0.0000), Na at (0.0000, 0.0000, 0.5000), Mn at (0.3333, 0.6667, 0.7573), I at (0.0032, 0.6654, 0.3096) and I at (0.3333, 0.6667, 0.9974).